Below is a relaxed structure of TbTmTlIr, with properties calculated at the PBE level.

Computed properties:
- Calculated total energy: -22.3 eV/f.u.
- DFT formation energy: -496 meV per atom
- Polymorph energy (0 for the lowest one): 128 meV per atom
- Total magnetic moment: 0.00 Bohr magnetons per cell

Lattice parameters (Å, degrees): 7.1785 7.1785 7.1785 90.00 90.00 90.00
Closest atoms and distances in Å follow each position.
Space group F-43m (No. 216)
Inequivalent atoms, fractional coordinates:
1 Tb 0.0000 0.0000 0.0000  4 Tl 3.11, 4 Ir 3.11
2 Tm 0.0000 0.0000 0.5000  4 Ir 3.11, 4 Tl 3.11
3 Tl 0.2500 0.2500 0.7500  4 Tb 3.11, 4 Tm 3.11
4 Ir 0.2500 0.2500 0.2500  4 Tb 3.11, 4 Tm 3.11

Below is a relaxed structure of Pa2Ni12B3Pt, with properties calculated at the PBE level.

Computed properties:
- Calculated total energy: -116.3 eV/f.u.
- DFT formation energy: -104 meV per atom
- Total magnetic moment: 0.00 Bohr magnetons per cell

Lattice parameters (Å, degrees): 7.0127 7.0127 16.2370 90.00 90.00 120.00
Closest atoms and distances in Å follow each position.
Space group R-3m (No. 166, hexagonal axes)
Inequivalent atoms, fractional coordinates:
1 Pa 0.0000 0.0000 0.0957  6 Ni 2.50-2.65
2 Ni 0.0638 0.5319 0.3052  2 B 1.92
3 Ni 0.0704 0.5352 0.8807  1 B 1.98
4 B 0.0000 0.5000 0.0000  6 Ni 1.92-1.98
5 Pt 0.0000 0.0000 0.5000  12 Ni 2.57-2.78

Below is a relaxed structure of ZnAgW, with properties calculated at the PBE level.

Computed properties:
- Calculated total energy: -16.1 eV/f.u.
- DFT formation energy: 322 meV per atom
- Polymorph energy (0 for the lowest one): 0 meV per atom
- Total magnetic moment: 0.00 Bohr magnetons per cell

Lattice parameters (Å, degrees): 3.8040 3.8734 12.8988 90.00 90.00 90.00
Closest atoms and distances in Å follow each position.
Space group Fmm2 (No. 42)
Inequivalent atoms, fractional coordinates:
1 Zn 0.0000 0.0000 0.0000  4 Zn 2.71, 4 W 2.80-2.82, 4 Ag 2.85-2.87
2 Ag 0.0000 0.0000 0.3354  4 Ag 2.71, 4 Zn 2.85-2.87, 4 W 2.96-2.99
3 W 0.0000 0.0000 0.6593  4 W 2.71, 4 Zn 2.80-2.82, 4 Ag 2.96-2.99

Below is a relaxed structure of TbPr4Sm7, with properties calculated at the PBE level.

Computed properties:
- Calculated total energy: -55.8 eV/f.u.
- DFT formation energy: 84 meV per atom
- Polymorph energy (0 for the lowest one): 0 meV per atom
- Total magnetic moment: 0.00 Bohr magnetons per cell

Lattice parameters (Å, degrees): 6.6245 7.0022 9.2701 86.30 77.17 83.03
Closest atoms and distances in Å follow each position.
Space group P-1 (No. 2)
Inequivalent atoms, fractional coordinates:
1 Tb 0.0000 0.0000 0.0000  2 Pr 3.44, 4 Sm 3.50-3.56
2 Pr 0.1615 0.6055 0.3110  7 Sm 3.44-3.81, 2 Pr 3.59
3 Pr 0.3551 0.1961 0.7178  7 Sm 3.41-3.70, 1 Tb 3.44, 2 Pr 3.59
4 Sm 0.0000 0.5000 0.0000  4 Pr 3.44-3.70, 2 Tb 3.50, 4 Sm 3.61-3.78
5 Sm 0.1927 0.0990 0.3826  5 Sm 3.34-3.71, 4 Pr 3.41-3.63
6 Sm 0.3145 0.6985 0.6421  5 Sm 3.44-3.78, 4 Pr 3.53-3.65
7 Sm 0.4892 0.2486 0.0503  5 Sm 3.44-3.64, 4 Pr 3.45-3.84, 1 Tb 3.56

Question: Number 3 is which compound?
Answer: ZnAgW